(1)
Computed, not measured: a geometry-optimized AcMg2CuSi2 structure at the GGA-PBE level of DFT.

- raw total energy (eV per atom) = -3.848
- crystal system = tetragonal

Cell lengths 8.146, 8.146, 8.146 Å; angles 148.68, 148.68, 44.88 degrees
Element x y z (fractional)
Ac (0.000, 0.000, 0.000)
Mg (0.250, 0.750, 0.500)
Mg (0.750, 0.250, 0.500)
Cu (0.500, 0.500, 0.000)
Si (0.354, 0.354, 0.000)
Si (0.646, 0.646, 0.000)



(2)
Computed, not measured: a geometry-optimized AcMgCuSi2 structure at the GGA-PBE level of DFT.

- raw total energy (eV per atom) = -4.549
- crystal system = tetragonal

Cell lengths 6.149, 6.149, 6.149 Å; angles 138.35, 138.35, 60.36 degrees
Element x y z (fractional)
Ac (0.000, 0.000, 0.000)
Mg (0.750, 0.250, 0.500)
Cu (0.250, 0.750, 0.500)
Si (0.385, 0.385, 0.000)
Si (0.615, 0.615, 0.000)



(3)
Computed, not measured: a geometry-optimized AcSmMgCu structure at the GGA-PBE level of DFT.

- calculated formation energy (eV/atom) = 0.00
- raw total energy (eV per atom) = -3.627
- crystal system = cubic

Cell lengths 5.433, 5.433, 5.433 Å; angles 60.00, 60.00, 60.00 degrees
Element x y z (fractional)
Ac (0.000, 0.000, 0.000)
Sm (0.500, 0.500, 0.500)
Mg (0.750, 0.750, 0.750)
Cu (0.250, 0.250, 0.250)



(4)
Computed, not measured: a geometry-optimized AcMgCuSn structure at the GGA-PBE level of DFT.

- calculated formation energy (eV/atom) = -0.24
- raw total energy (eV per atom) = -3.689
- crystal system = cubic

Cell lengths 5.292, 5.292, 5.292 Å; angles 60.00, 60.00, 60.00 degrees
Element x y z (fractional)
Ac (0.000, 0.000, 0.000)
Mg (0.500, 0.500, 0.500)
Cu (0.750, 0.750, 0.750)
Sn (0.250, 0.250, 0.250)



(5)
Computed, not measured: a geometry-optimized AcMgCuSn2 structure at the GGA-PBE level of DFT.

- calculated formation energy (eV/atom) = -0.40
- raw total energy (eV per atom) = -3.957
- crystal system = tetragonal

Cell lengths 6.831, 6.831, 6.831 Å; angles 140.45, 140.45, 57.18 degrees
Element x y z (fractional)
Ac (0.000, 0.000, 0.000)
Mg (0.250, 0.750, 0.500)
Cu (0.750, 0.250, 0.500)
Sn (0.379, 0.379, 0.000)
Sn (0.621, 0.621, 0.000)



(6)
Computed, not measured: a geometry-optimized SrAcMgCu structure at the GGA-PBE level of DFT.

- calculated formation energy (eV/atom) = 0.04
- raw total energy (eV per atom) = -2.832
- crystal system = cubic

Cell lengths 5.622, 5.622, 5.622 Å; angles 60.00, 60.00, 60.00 degrees
Element x y z (fractional)
Sr (0.000, 0.000, 0.000)
Ac (0.500, 0.500, 0.500)
Mg (0.750, 0.750, 0.750)
Cu (0.250, 0.250, 0.250)



(7)
Computed, not measured: a geometry-optimized AcMgTlCu structure at the GGA-PBE level of DFT.

- calculated formation energy (eV/atom) = -0.13
- raw total energy (eV per atom) = -3.167
- crystal system = cubic

Cell lengths 5.304, 5.304, 5.304 Å; angles 60.00, 60.00, 60.00 degrees
Element x y z (fractional)
Ac (0.000, 0.000, 0.000)
Mg (0.500, 0.500, 0.500)
Tl (0.750, 0.750, 0.750)
Cu (0.250, 0.250, 0.250)



(8)
Computed, not measured: a geometry-optimized AcTmMgCu structure at the GGA-PBE level of DFT.

- calculated formation energy (eV/atom) = 0.01
- raw total energy (eV per atom) = -3.554
- crystal system = cubic

Cell lengths 5.357, 5.357, 5.357 Å; angles 60.00, 60.00, 60.00 degrees
Element x y z (fractional)
Ac (0.000, 0.000, 0.000)
Tm (0.500, 0.500, 0.500)
Mg (0.250, 0.250, 0.250)
Cu (0.750, 0.750, 0.750)



(9)
Computed, not measured: a geometry-optimized AcMgZnCu2 structure at the GGA-PBE level of DFT.

- calculated formation energy (eV/atom) = -0.19
- raw total energy (eV per atom) = -3.222
- crystal system = tetragonal

Cell lengths 6.581, 6.581, 6.581 Å; angles 142.61, 142.61, 53.91 degrees
Element x y z (fractional)
Ac (0.000, 0.000, 0.000)
Mg (0.750, 0.250, 0.500)
Zn (0.250, 0.750, 0.500)
Cu (0.391, 0.391, 0.000)
Cu (0.609, 0.609, 0.000)



(10)
Computed, not measured: a geometry-optimized AcMgZn4Cu2 structure at the GGA-PBE level of DFT.

- calculated formation energy (eV/atom) = -0.14
- raw total energy (eV per atom) = -2.509
- crystal system = trigonal

Cell lengths 9.984, 9.984, 9.984 Å; angles 24.70, 24.70, 24.70 degrees
Element x y z (fractional)
Ac (0.000, 0.000, 0.000)
Mg (0.500, 0.500, 0.500)
Zn (0.119, 0.119, 0.119)
Zn (0.407, 0.407, 0.407)
Zn (0.593, 0.593, 0.593)
Zn (0.881, 0.881, 0.881)
Cu (0.231, 0.231, 0.231)
Cu (0.769, 0.769, 0.769)



(11)
Computed, not measured: a geometry-optimized Ac2MgZnCu6 structure at the GGA-PBE level of DFT.

- calculated formation energy (eV/atom) = 0.15
- raw total energy (eV per atom) = -3.414
- crystal system = tetragonal

Cell lengths 6.718, 6.718, 6.718 Å; angles 119.92, 119.92, 90.13 degrees
Element x y z (fractional)
Ac (0.250, 0.750, 0.500)
Ac (0.750, 0.250, 0.500)
Mg (0.000, 0.000, 0.000)
Zn (0.500, 0.500, 0.000)
Cu (0.256, 0.256, 0.000)
Cu (0.257, 0.257, 0.513)
Cu (0.257, 0.743, 0.000)
Cu (0.743, 0.257, 0.000)
Cu (0.743, 0.743, 0.487)
Cu (0.744, 0.744, 0.000)



(12)
Computed, not measured: a geometry-optimized AcMg2ZnCu2 structure at the GGA-PBE level of DFT.

- calculated formation energy (eV/atom) = 0.01
- raw total energy (eV per atom) = -2.780
- crystal system = tetragonal

Cell lengths 6.566, 6.566, 6.566 Å; angles 134.96, 134.96, 65.59 degrees
Element x y z (fractional)
Ac (0.000, 0.000, 0.000)
Mg (0.250, 0.750, 0.500)
Mg (0.750, 0.250, 0.500)
Zn (0.500, 0.500, 0.000)
Cu (0.287, 0.287, 0.000)
Cu (0.713, 0.713, 0.000)